Below is a relaxed structure of TlAu2SeCl, with properties calculated at the PBE-GGA level.

Calculated values
* raw total energy: -10.8 eV/cell
* formation energy from raw total energies: 3.4 eV per formula unit
* density of states at the Fermi level: 5.5 states/eV/f.u.

abc: 5.3820 5.3820 5.4617
angles: 90.00 90.00 90.00
Closest atoms and distances in Å follow each position.
Space group P4/mmm (No. 123)
Symmetry-distinct sites (fractional):
Tl: 0.0000 0.0000 0.0000  4 Au 2.69, 2 Cl 2.73
Au: 0.0000 0.5000 0.0000  2 Tl 2.69
Se: 0.5000 0.5000 0.5000  4 Cl 3.81, 8 Au 3.83
Cl: 0.0000 0.0000 0.5000  2 Tl 2.73